[1]
6
Lattice="0.000 3.733 3.733 3.733 0.000 3.733 3.733 3.733 0.000" Properties=species:S:1:pos:R:3 comment="LaInRh4 | Alexandria | PBEsol | relaxed" dos_at_fermi_per_ev_cell=8.4 spacegroup="F-43m (216)" total_magnetization_mub_per_fu=0.00 delta_e_f_ev_per_atom=-0.39 pbc="T T T"
La 0.000 0.000 0.000
In 1.867 1.867 1.867
Rh 4.660 2.807 2.807
Rh 2.807 4.660 2.807
Rh 2.807 2.807 4.660
Rh 4.660 4.660 4.660


[2]
16
Lattice="7.125 0.000 0.000 0.000 7.125 0.000 0.000 0.000 7.125" Properties=species:S:1:pos:R:3 comment="LaZnHg2 | Alexandria | PBEsol | relaxed" dos_at_fermi_per_ev_cell=7.1 spacegroup="F-43m (216)" total_magnetization_mub_per_fu=0.00 delta_e_f_ev_per_atom=-0.40 pbc="T T T"
La 0.000 0.000 0.000
La 0.000 3.562 3.562
La 3.562 0.000 3.562
La 3.562 3.562 0.000
Zn 1.781 1.781 1.781
Zn 1.781 5.344 5.344
Zn 5.344 1.781 5.344
Zn 5.344 5.344 1.781
Hg 0.000 0.000 3.562
Hg 0.000 3.562 0.000
Hg 1.781 1.781 5.344
Hg 1.781 5.344 1.781
Hg 3.562 0.000 0.000
Hg 3.562 3.562 3.562
Hg 5.344 1.781 1.781
Hg 5.344 5.344 5.344


[3]
12
Lattice="6.343 0.000 0.000 0.000 6.343 0.000 0.000 0.000 6.343" Properties=species:S:1:pos:R:3 comment="CuPbAu | Alexandria | PBEsol | relaxed" dos_at_fermi_per_ev_cell=5.1 spacegroup="F-43m (216)" total_magnetization_mub_per_fu=0.00 delta_e_f_ev_per_atom=0.20 pbc="T T T"
Cu 0.000 0.000 0.000
Cu 0.000 3.172 3.172
Cu 3.172 0.000 3.172
Cu 3.172 3.172 0.000
Pb 0.000 0.000 3.172
Pb 0.000 3.172 0.000
Pb 3.172 0.000 0.000
Pb 3.172 3.172 3.172
Au 1.586 1.586 4.758
Au 1.586 4.758 1.586
Au 4.758 1.586 1.586
Au 4.758 4.758 4.758


[4]
16
Lattice="7.814 0.000 0.000 0.000 7.814 0.000 0.000 0.000 7.814" Properties=species:S:1:pos:R:3 comment="Ac2HgGe | Alexandria | PBEsol | relaxed" dos_at_fermi_per_ev_cell=18.3 spacegroup="Fm-3m (225)" total_magnetization_mub_per_fu=0.00 delta_e_f_ev_per_atom=-0.55 pbc="T T T"
Ac 1.954 1.954 1.954
Ac 1.954 1.954 5.861
Ac 1.954 5.861 1.954
Ac 1.954 5.861 5.861
Ac 5.861 1.954 1.954
Ac 5.861 1.954 5.861
Ac 5.861 5.861 1.954
Ac 5.861 5.861 5.861
Hg 0.000 0.000 0.000
Hg 0.000 3.907 3.907
Hg 3.907 0.000 3.907
Hg 3.907 3.907 0.000
Ge 0.000 0.000 3.907
Ge 0.000 3.907 0.000
Ge 3.907 0.000 0.000
Ge 3.907 3.907 3.907


[5]
8
Lattice="3.731 0.000 0.000 0.000 3.731 0.000 0.000 0.000 10.494" Properties=species:S:1:pos:R:3 comment="HgRhCl2 | Alexandria | PBEsol | relaxed" formation_energy_uncorrected_kj_per_mol_fu=127 dos_at_fermi_per_ev_cell=4.7 e_above_lowest_polymorph_ev_per_fu=0.96 spacegroup="I-4m2 (119)" total_magnetization_mub_per_fu=0.00 pbc="T T T"
Hg 0.000 0.000 0.000
Hg 1.866 1.866 5.247
Rh 0.000 1.866 2.624
Rh 1.866 0.000 7.871
Cl 0.000 0.000 5.247
Cl 0.000 1.866 7.871
Cl 1.866 0.000 2.624
Cl 1.866 1.866 0.000


[6]
4
Lattice="2.998 0.000 0.000 0.000 2.998 0.000 0.000 0.000 7.019" Properties=species:S:1:pos:R:3 comment="LaCo2Os | Alexandria | PBEsol | relaxed" dos_at_fermi_per_ev_cell=3.1 e_above_lowest_polymorph_ev_per_fu=1.15 spacegroup="P4/mmm (123)" total_magnetization_mub_per_fu=2.59 delta_e_f_ev_per_atom=0.31 pbc="T T T"
La 0.000 0.000 0.000
Co 1.499 1.499 2.223
Co 1.499 1.499 4.796
Os 0.000 0.000 3.509


Q: Which formula does entry 5 have?
A: HgRhCl2